(1)
Here is crystalline CaTl2Ir at its relaxed geometry from Alexandria via LeMat-Bulk. Energies are from PBE.

```
4
Lattice="4.4398 0.0000 0.0000 0.0000 4.4502 0.0000 0.0000 0.0000 4.6202" Properties=species:S:1:pos:R:3 pbc="T T T"
Ca 0.0000 0.0000 0.0000
Tl 0.0000 2.2251 2.3101
Tl 2.2199 0.0000 2.3101
Ir 2.2199 2.2251 0.0000
```

Computed properties:
volume	91	Å³/cell
E_form	0.092	eV per atom
magnetization	0.00	Bohr magnetons per cell
space group	Pmmm

---

(2)
Here is crystalline Pa6P2Se3S at its relaxed geometry from Alexandria via LeMat-Bulk. Energies are from PBE.

```
12
Lattice="8.8824 -1.9959 0.0000 8.8824 1.9959 0.0000 -2.3984 0.0000 7.6966" Properties=species:S:1:pos:R:3 pbc="T T T"
Pa -0.5104 0.0000 1.8147
Pa 4.8166 0.0000 3.2932
Pa 3.8376 0.0000 6.9913
Pa 11.5288 0.0000 0.7053
Pa 10.5497 0.0000 4.4034
Pa 15.8768 0.0000 5.8819
P 2.1521 0.0000 2.5527
P 13.2142 0.0000 5.1440
Se 0.9844 0.0000 6.4106
Se 7.6832 0.0000 3.8483
Se 14.3820 0.0000 1.2860
S 8.8824 0.0000 0.0000
```

Computed properties:
volume	273	Å³/cell
magnetization	0.00	Bohr magnetons per cell
uncorrected formation energy	-16.09	eV/f.u.
space group	C2/m

---

(3)
Here is crystalline NpInPb at its relaxed geometry from Alexandria via LeMat-Bulk. Energies are from PBE.

```
3
Lattice="5.4676 0.0000 0.0000 -2.7338 4.7351 0.0000 0.0000 0.0000 3.0932" Properties=species:S:1:pos:R:3 pbc="T T T"
Np 0.0000 0.0000 0.0000
In 2.7338 1.5784 1.5466
Pb 0.0000 3.1567 1.5466
```

Computed properties:
volume	80	Å³/cell
E_form	0.208	eV per atom
magnetization	4.80	Bohr magnetons per cell
polymorph energy (0 for the lowest one)	0.012	eV per atom
space group	P-6m2

---

(4)
Here is crystalline Cr2OsN at its relaxed geometry from Alexandria via LeMat-Bulk. Energies are from PBE.

```
4
Lattice="1.3901 0.8026 7.0053 -1.3901 0.8026 7.0053 0.0000 -1.6051 7.0053" Properties=species:S:1:pos:R:3 pbc="T T T"
Cr 0.0000 0.0000 2.3625
Cr 0.0000 0.0000 18.6533
Os 0.0000 0.0000 0.0000
N 0.0000 0.0000 10.5079
```

Computed properties:
volume	47	Å³/cell
magnetization	2.87	Bohr magnetons per cell
uncorrected formation energy	0.75	eV/f.u.
space group	R-3m

---

(5)
Here is crystalline PrHf2Pa at its relaxed geometry from Alexandria via LeMat-Bulk. Energies are from PBE.

```
4
Lattice="1.6244 0.9378 11.6482 -1.6244 0.9378 11.6482 0.0000 -1.8756 11.6482" Properties=species:S:1:pos:R:3 pbc="T T T"
Pr 0.0000 0.0000 0.0000
Hf 0.0000 0.0000 3.2172
Hf 0.0000 0.0000 31.7273
Pa 0.0000 0.0000 17.4723
```

Computed properties:
volume	106	Å³/cell
E_form	0.330	eV per atom
magnetization	0.00	Bohr magnetons per cell
space group	R-3m

---

(6)
Here is crystalline SrUZnO5 at its relaxed geometry from Alexandria via LeMat-Bulk. Energies are from PBE.

```
16
Lattice="3.6215 -4.8579 0.0000 3.6215 4.8579 0.0000 -3.4733 0.0000 7.2777" Properties=species:S:1:pos:R:3 pbc="T T T"
Sr 1.0166 3.1984 5.4583
Sr 2.7532 -3.1984 1.8194
U 3.6215 0.0000 0.0000
U 1.8849 0.0000 3.6389
Zn 2.7532 3.0185 1.8194
Zn 1.0166 -3.0185 5.4583
O -1.7005 0.4754 6.5955
O 1.5208 1.9525 2.9290
O 0.0361 -0.4754 2.9566
O 3.9856 1.9525 0.7099
O 1.0166 0.7145 5.4583
O 2.7532 -0.7145 1.8194
O -0.2158 -1.9525 6.5678
O 3.7336 0.4754 4.3212
O 2.2489 -1.9525 4.3488
O 5.4703 -0.4754 0.6823
```

Computed properties:
volume	256	Å³/cell
magnetization	0.00	Bohr magnetons per cell
uncorrected formation energy	-21.88	eV/f.u.
space group	C2/c

---

(7)
Here is crystalline LaPmSi4 at its relaxed geometry from Alexandria via LeMat-Bulk. Energies are from PBE.

```
6
Lattice="0.0000 3.8767 3.8767 3.8767 0.0000 3.8767 3.8767 3.8767 0.0000" Properties=species:S:1:pos:R:3 pbc="T T T"
La 0.0000 0.0000 0.0000
Pm 1.9384 1.9384 1.9384
Si 4.8082 2.9452 2.9452
Si 2.9452 4.8082 2.9452
Si 2.9452 2.9452 4.8082
Si 4.8082 4.8082 4.8082
```

Computed properties:
volume	117	Å³/cell
magnetization	0.00	Bohr magnetons per cell
polymorph energy (0 for the lowest one)	0.312	eV per atom
uncorrected formation energy	-1.93	eV/f.u.
space group	F-43m

---

(8)
Here is crystalline Ac5Zn2CoN at its relaxed geometry from Alexandria via LeMat-Bulk. Energies are from PBE.

```
18
Lattice="2.0725 -9.5677 0.0000 2.0725 9.5677 0.0000 0.0000 0.0000 14.3138" Properties=species:S:1:pos:R:3 pbc="T T T"
Ac 2.0725 9.4377 7.1569
Ac 2.0725 6.7014 10.3153
Ac 2.0725 6.0547 1.4173
Ac 2.0725 5.4173 5.4148
Ac 2.0725 0.8623 10.5330
Ac 2.0725 -0.8623 3.3761
Ac 2.0725 -5.4173 12.5717
Ac 2.0725 -6.0547 8.5742
Ac 2.0725 -6.7014 3.1584
Ac 2.0725 -9.4377 0.0000
Zn 2.0725 2.6237 0.5247
Zn 2.0725 2.0819 5.6824
Zn 2.0725 -2.0819 12.8393
Zn 2.0725 -2.6237 7.6816
Co 2.0725 3.9662 10.6033
Co 2.0725 -3.9662 3.4464
N 2.0725 8.5163 2.0471
N 2.0725 -8.5163 9.2040
```

Computed properties:
volume	568	Å³/cell
magnetization	0.00	Bohr magnetons per cell
uncorrected formation energy	-2.94	eV/f.u.
space group	Cmc2_1